# Hf3GeIr, optimized geometry, DFT PBE
data_Hf3GeIr
_cell_length_a 5.003
_cell_length_b 5.003
_cell_length_c 5.003
_cell_angle_alpha 90.00
_cell_angle_beta 90.00
_cell_angle_gamma 90.00
_symmetry_space_group_name_H-M 'P m -3 m'
_symmetry_Int_Tables_number 221
_symmetry_space_group_name_Hall '-P 4 2 3'
loop_
_atom_site_label
_atom_site_fract_x
_atom_site_fract_y
_atom_site_fract_z
_atom_site_occupancy
Hf1 0.000 0.000 0.500 1
Ge1 0.500 0.500 0.500 1
Ir1 0.000 0.000 0.000 1
# energy relative to the lowest polymorph listed for this composition	0.708	eV per atom
# volume	25.0	Å³/atom

---

# HfGeIr2, optimized geometry, DFT PBE
data_HfGeIr2
_cell_length_a 2.987
_cell_length_b 2.987
_cell_length_c 7.164
_cell_angle_alpha 90.00
_cell_angle_beta 90.00
_cell_angle_gamma 90.00
_symmetry_space_group_name_H-M 'P 4/m m m'
_symmetry_Int_Tables_number 123
_symmetry_space_group_name_Hall '-P 4 2'
loop_
_atom_site_label
_atom_site_fract_x
_atom_site_fract_y
_atom_site_fract_z
_atom_site_occupancy
Hf1 0.000 0.000 0.000 1
Ge1 0.000 0.000 0.500 1
Ir1 0.500 0.500 0.277 1
# volume	16.0	Å³/atom

---

# HfGeIr2, optimized geometry, DFT PBE
data_HfGeIr2
_cell_length_a 4.149
_cell_length_b 4.149
_cell_length_c 3.731
_cell_angle_alpha 90.00
_cell_angle_beta 90.00
_cell_angle_gamma 90.00
_symmetry_space_group_name_H-M 'P 4/m m m'
_symmetry_Int_Tables_number 123
_symmetry_space_group_name_Hall '-P 4 2'
loop_
_atom_site_label
_atom_site_fract_x
_atom_site_fract_y
_atom_site_fract_z
_atom_site_occupancy
Hf1 0.000 0.000 0.000 1
Ge1 0.500 0.500 0.000 1
Ir1 0.000 0.500 0.500 1
# volume	16.1	Å³/atom

---

# Hf2GeIr4, optimized geometry, DFT PBE
data_Hf2GeIr4
_cell_length_a 4.509
_cell_length_b 4.509
_cell_length_c 13.531
_cell_angle_alpha 90.00
_cell_angle_beta 90.00
_cell_angle_gamma 90.00
_symmetry_space_group_name_H-M 'I 4/m m m'
_symmetry_Int_Tables_number 139
_symmetry_space_group_name_Hall '-I 4 2'
loop_
_atom_site_label
_atom_site_fract_x
_atom_site_fract_y
_atom_site_fract_z
_atom_site_occupancy
Hf1 0.000 0.000 0.137 1
Ge1 0.000 0.000 0.500 1
Ir1 0.000 0.000 0.320 1
Ir2 0.000 0.500 0.000 1
# volume	19.7	Å³/atom

---

Values for density of states at the Fermi level, states/eV per cell, ordered as above
4.26; 1.97; 0.81; 12.33
Values for M_tot, μB per cell, ordered as above
0.000; 0.001; 0.000; 0.000
Values for DFT formation energy, meV/atom, ordered as above
158.2; -536.6; -611.6; 318.3